The following is a DFT calculation (PBE) of a relaxed Cd2InAgH crystal.

Cell and atoms, written as CIF:
```
data_Cd2InAgH
_cell_length_a 5.374
_cell_length_b 5.374
_cell_length_c 3.476
_cell_angle_alpha 90.00
_cell_angle_beta 90.00
_cell_angle_gamma 90.00
_space_group_name_H-M_alt 'P 4/m m m'
_space_group_IT_number 123
_space_group_name_Hall '-P 4 2'
loop_
_atom_site_label
_atom_site_type_symbol
_atom_site_fract_x
_atom_site_fract_y
_atom_site_fract_z
Cd1 Cd 0.000 0.500 0.000
In1 In 0.000 0.000 0.500
Ag1 Ag 0.500 0.500 0.500
H1 H 0.500 0.500 0.000
```

Total magnetization: 0.00 Bohr magnetons per cell
VASP energy: -1.94 eV per atom
Calculated density: 7.4 Mg/m³